# TmB3Os3 | Alexandria | PBE | relaxed
data_TmB3Os3
_symmetry_space_group_name_H-M 'P m -3 n'
_symmetry_Int_Tables_number 223
_symmetry_space_group_name_Hall '-P 4n 2 3'
_cell_length_a 5.8508
_cell_length_b 5.8508
_cell_length_c 5.8508
_cell_angle_alpha 90.00
_cell_angle_beta 90.00
_cell_angle_gamma 90.00
loop_
_atom_site_label
_atom_site_type_symbol
_atom_site_fract_x
_atom_site_fract_y
_atom_site_fract_z
Tm1 Tm 0.0000 0.0000 0.0000
B1 B 0.0000 0.2500 0.5000
Os1 Os 0.0000 0.5000 0.2500
# DFT formation energy = 0.036 eV per atom
# VASP energy = -115.88 eV for the cell shown